1.
This record from Alexandria via LeMat-Bulk describes an optimized crystal structure of Pm2AgCl. The functional is PBE.

Cell lengths 4.321, 4.321, 7.005 Å; angles 72.04, 72.04, 60.00 degrees
Fractional coordinates of all 4 atoms:
Cl 0.000 0.000 0.000
Ag 0.500 0.500 0.500
Pm 0.255 0.255 0.236
Pm 0.745 0.745 0.764

Summary:
DOS at the Fermi energy in states/eV per atom: 0.75
Polymorph energy (0 for the lowest one) in kJ/mol of formula units: 0.0
Symmetry: R-3m, No. 166
Uncorrected formation energy in eV per formula unit: -3.05
Uncorrected energy in Ry per atom: -0.3170

---

2.
This record from Alexandria via LeMat-Bulk describes an optimized crystal structure of Pm4Ag2Cl. The functional is PBE.

Cell lengths 5.314, 5.314, 8.261 Å; angles 108.76, 108.76, 90.00 degrees
Fractional coordinates of all 7 atoms:
Cl 0.000 0.000 0.000
Ag 0.611 0.611 0.221
Ag 0.389 0.389 0.779
Pm 0.806 0.806 0.613
Pm 0.194 0.194 0.387
Pm 0.000 0.500 0.000
Pm 0.500 0.000 0.000

Summary:
DOS at the Fermi energy in states/eV per atom: 0.77
Symmetry: I4/mmm, No. 139
Uncorrected formation energy in eV per formula unit: -2.66
Uncorrected energy in Ry per atom: -0.3067

---

3.
This record from Alexandria via LeMat-Bulk describes an optimized crystal structure of Pm2AgCl. The functional is PBE.

Cell lengths 3.631, 3.631, 9.362 Å; angles 78.82, 78.82, 60.00 degrees
Fractional coordinates of all 4 atoms:
Pm 0.086 0.086 0.743
Pm 0.247 0.247 0.258
Ag 0.666 0.666 0.001
Cl 0.501 0.501 0.498

Summary:
DOS at the Fermi energy in states/eV per atom: 0.87
Polymorph energy (0 for the lowest one) in kJ/mol of formula units: 24.2
Symmetry: R3m, No. 160
Uncorrected formation energy in eV per formula unit: -2.80
Uncorrected energy in Ry per atom: -0.3124

---

4.
This record from Alexandria via LeMat-Bulk describes an optimized crystal structure of PmAgCl4. The functional is PBE.

Cell lengths 6.303, 6.303, 6.303 Å; angles 112.24, 112.24, 104.07 degrees
Fractional coordinates of all 6 atoms:
Pm 0.750 0.250 0.500
Ag 0.500 0.500 0.000
Cl 0.140 0.174 0.493
Cl 0.680 0.646 0.507
Cl 0.354 0.860 0.034
Cl 0.826 0.320 0.966

Summary:
DOS at the Fermi energy in states/eV per atom: 0.00
Polymorph energy (0 for the lowest one) in kJ/mol of formula units: 54.3
Symmetry: I-4, No. 82
Uncorrected formation energy in eV per formula unit: -9.23
Uncorrected energy in Ry per atom: -0.2967

---

5.
This record from Alexandria via LeMat-Bulk describes an optimized crystal structure of PmAg6Cl12. The functional is PBE.

Cell lengths 8.180, 8.180, 8.180 Å; angles 89.55, 89.55, 89.55 degrees
Fractional coordinates of all 19 atoms:
Pm 0.000 0.000 0.000
Ag 0.122 0.349 0.612
Ag 0.651 0.388 0.878
Ag 0.388 0.878 0.651
Ag 0.878 0.651 0.388
Ag 0.349 0.612 0.122
Ag 0.612 0.122 0.349
Cl 0.363 0.166 0.527
Cl 0.166 0.527 0.363
Cl 0.527 0.363 0.166
Cl 0.637 0.834 0.473
Cl 0.834 0.473 0.637
Cl 0.473 0.637 0.834
Cl 0.094 0.847 0.719
Cl 0.281 0.906 0.153
Cl 0.153 0.281 0.906
Cl 0.906 0.153 0.281
Cl 0.719 0.094 0.847
Cl 0.847 0.719 0.094

Summary:
DOS at the Fermi energy in states/eV per atom: 0.18
Symmetry: R-3, No. 148
Uncorrected formation energy in eV per formula unit: -14.74
Uncorrected energy in Ry per atom: -0.2273

---

6.
This record from Alexandria via LeMat-Bulk describes an optimized crystal structure of PmAg3Cl6. The functional is PBE.

Cell lengths 6.955, 6.955, 7.466 Å; angles 62.24, 62.24, 60.00 degrees
Fractional coordinates of all 10 atoms:
Pm 0.844 0.844 0.469
Ag 0.353 0.353 0.941
Ag 0.646 0.646 0.062
Ag 0.150 0.150 0.549
Cl 0.941 0.571 0.246
Cl 0.242 0.941 0.246
Cl 0.571 0.242 0.246
Cl 0.057 0.444 0.747
Cl 0.752 0.057 0.747
Cl 0.444 0.752 0.747

Summary:
DOS at the Fermi energy in states/eV per atom: 0.00
Polymorph energy (0 for the lowest one) in kJ/mol of formula units: 0.0
Symmetry: R3, No. 146
Uncorrected formation energy in eV per formula unit: -11.54
Uncorrected energy in Ry per atom: -0.2641

---

7.
This record from Alexandria via LeMat-Bulk describes an optimized crystal structure of Pm2Ag5Cl12. The functional is PBE.

Cell lengths 7.764, 8.001, 10.055 Å; angles 102.88, 90.00, 119.02 degrees
Fractional coordinates of all 19 atoms:
Pm 0.751 0.000 0.000
Pm 0.249 0.000 0.000
Ag 0.281 0.563 0.616
Ag 0.284 0.568 0.319
Ag 0.000 0.000 0.500
Ag 0.716 0.432 0.681
Ag 0.719 0.437 0.384
Cl 0.944 0.889 0.154
Cl 0.071 0.631 0.829
Cl 0.561 0.631 0.829
Cl 0.112 0.743 0.479
Cl 0.631 0.743 0.479
Cl 0.554 0.109 0.843
Cl 0.446 0.891 0.157
Cl 0.888 0.257 0.521
Cl 0.369 0.257 0.521
Cl 0.929 0.369 0.171
Cl 0.439 0.369 0.171
Cl 0.056 0.111 0.846

Summary:
DOS at the Fermi energy in states/eV per atom: 0.15
Symmetry: C2/m, No. 12
Uncorrected formation energy in eV per formula unit: -21.90
Uncorrected energy in Ry per atom: -0.2623

---

8.
This record from Alexandria via LeMat-Bulk describes an optimized crystal structure of PmAgCl4. The functional is PBE.

Cell lengths 6.786, 6.754, 9.313 Å; angles 107.36, 107.49, 100.15 degrees
Fractional coordinates of all 12 atoms:
Pm 0.827 0.077 0.155
Pm 0.173 0.923 0.845
Ag 0.411 0.661 0.322
Ag 0.589 0.339 0.678
Cl 0.288 0.030 0.622
Cl 0.081 0.814 0.093
Cl 0.167 0.409 0.378
Cl 0.488 0.722 0.907
Cl 0.712 0.970 0.378
Cl 0.833 0.591 0.622
Cl 0.919 0.186 0.907
Cl 0.512 0.278 0.093

Summary:
DOS at the Fermi energy in states/eV per atom: 0.00
Polymorph energy (0 for the lowest one) in kJ/mol of formula units: 0.0
Symmetry: C2/c, No. 15
Uncorrected formation energy in eV per formula unit: -9.80
Uncorrected energy in Ry per atom: -0.3036